Zn2IrRh, relaxed, DFT PBE; crystal system = tetragonal; formation energy = -0.382 eV/f.u.; symmetry = P4mm, No. 99; total energy = -4.786 eV per atom
1.0
2.7627 0.0000 0.0000
0.0000 2.7627 0.0000
0.0000 0.0000 7.5781
Ir Rh Zn
1 1 2
Cartesian
0.0000 0.0000 3.8068 Ir
1.3813 1.3813 5.6761 Rh
0.0000 0.0000 7.4958 Zn
1.3813 1.3813 1.9665 Zn

---

MgPb2Se, relaxed, DFT PBE; formation energy without anion corrections = -124 meV per atom; crystal system = orthorhombic; symmetry = Cmmm, No. 65; total energy = -3.248 eV per atom
1.0
5.9556 0.0000 0.0000
0.0000 4.3313 -0.0070
0.0000 0.0013 4.3386
Mg Pb Se
1 2 1
Cartesian
2.9778 3.2495 3.2487 Mg
0.0000 4.3303 4.3294 Pb
0.0000 2.1687 2.1679 Pb
2.9778 1.0832 1.0829 Se